Here is NaMnCl2F after structural relaxation from Alexandria via LeMat-Bulk. Energies are from PBE with a Hubbard U.

a = 3.726 Å, b = 12.428 Å, c = 8.462 Å
α = 90.00°, β = 90.00°, γ = 90.00°
Space group Cmcm (No. 63)
One atom of each set of equivalent atoms:
Na 0.000 0.192 0.250 x4
Mn 0.000 0.500 0.000 x4
Cl 0.000 0.134 0.556 x8
F 0.000 0.436 0.750 x4

Results
calculated volume: 19.59 A^3/atom
crystal system: orthorhombic
polymorph energy (0 for the lowest one): 0.0 kJ per mole of atoms
mass density: 2.845 Mg/m³